Entry 1:
KMnCl6 | PBE | relaxed

Cell and atoms, written as extended XYZ:
```
8
Lattice="-0.7732 3.7893 4.5441 2.5615 -4.3758 3.1459 5.9565 2.2927 0.8172" Properties=species:S:1:pos:R:3 pbc="T T T"
Cl 6.6200 -1.2792 4.9237
Cl 1.1248 2.9854 3.5834
Cl 6.7211 1.6335 6.4903
Cl 1.0237 0.0727 2.0168
Cl 3.2688 -2.2643 2.6844
Cl 4.4760 3.9705 5.8228
Mn 0.0000 0.0000 0.0000
K 3.8724 0.8531 4.2536
```

ΔE_f (raw)   -931 meV per atom
Total moment   2.2 μB per cell
SG   C2/m
DFT total energy   -3.60 eV per atom

***

Entry 2:
KMn3Cl9 | PBE | relaxed

Cell and atoms, written as extended XYZ:
```
26
Lattice="7.9034 0.0000 3.3258 3.4214 10.1120 2.9231 -0.3144 0.1950 11.8008" Properties=species:S:1:pos:R:3 pbc="T T T"
Cl 6.4886 4.6809 10.8182
Cl 2.3335 5.7960 8.0035
Cl 4.8933 2.4367 9.0557
Cl 1.8511 5.5662 4.5962
Cl 9.7576 9.0596 9.2114
Cl 8.4343 4.1012 13.8794
Cl 5.5964 0.4731 11.6416
Cl 8.1130 2.5228 5.9741
Cl 6.8993 0.6425 3.2166
Cl 1.4551 0.6078 9.6545
Cl 5.2490 8.2711 8.2429
Cl 5.4384 5.4316 6.3502
Cl 5.4033 9.6394 5.1366
Cl 7.7789 7.3952 5.0451
Cl 3.0411 7.7529 12.0713
Cl 7.4168 7.6763 12.3894
Cl 3.4962 2.5994 5.5545
Cl 4.3756 3.3126 13.1002
Mn 8.1074 5.5872 12.2797
Mn 10.7397 9.8657 16.0174
Mn 5.9623 7.6896 6.2440
Mn 5.3060 2.7311 11.1927
Mn 3.1959 4.7122 6.1347
Mn 7.7086 0.4337 5.4036
K 6.9711 10.0441 10.3259
K 1.6822 5.0857 13.3252
```

ΔE_f (raw)   -1076 meV per atom
Total moment   26.0 μB per cell
SG   Cc
DFT total energy   -4.55 eV per atom

***

Entry 3:
K2MnCl4 | PBE | relaxed

Cell and atoms, written as extended XYZ:
```
14
Lattice="-1.7489 1.9663 -6.7778 -7.0552 -0.6020 1.6459 0.5283 7.2406 4.9132" Properties=species:S:1:pos:R:3 pbc="T T T"
K -1.7734 7.2955 3.0939
K -6.3358 5.1621 -1.1895
K -6.5024 1.3094 -3.3127
K -1.9399 3.4427 0.9707
Mn -2.6339 7.1112 -0.6620
Mn -5.6419 1.4936 0.4432
Cl -4.0172 6.1024 0.9579
Cl -7.7385 2.2055 -0.3648
Cl -4.2586 2.5024 -1.1767
Cl -0.5373 6.3993 0.1460
Cl -5.2115 2.3260 2.5927
Cl -4.9399 6.3974 5.2464
Cl -3.0643 6.2789 -2.8115
Cl -3.3359 2.2075 -5.4652
```

ΔE_f (raw)   -1610 meV per atom
Total moment   10.0 μB per cell
SG   P2_1/m
DFT total energy   -4.29 eV per atom

***

Entry 4:
KMn4Cl12 | PBE | relaxed

Cell and atoms, written as extended XYZ:
```
17
Lattice="8.0569 0.0000 0.0000 -2.6856 7.5961 0.0000 -2.6856 -3.7981 6.5784" Properties=species:S:1:pos:R:3 pbc="T T T"
Cl 0.0455 3.4485 4.6246
Cl -0.0455 -2.2808 5.2988
Cl -0.5505 0.3892 3.2335
Cl 2.6401 0.3496 1.9538
Cl 3.2361 3.4088 3.3449
Cl -2.1352 4.9905 1.9538
Cl 2.7311 6.0788 1.2796
Cl 2.1352 0.8031 5.2988
Cl 5.4168 1.8669 0.6742
Cl 4.8208 -1.1924 4.6246
Cl 0.5505 2.9949 1.2796
Cl -2.7311 1.9312 5.9042
K 0.0000 0.0000 0.0000
Mn -1.3428 3.7981 0.0000
Mn 4.0285 0.0000 0.0000
Mn 1.3428 1.8990 3.2892
Mn -1.3428 -1.8990 3.2892
```

ΔE_f (raw)   -1051 meV per atom
Total moment   17.0 μB per cell
SG   Im-3
DFT total energy   -4.58 eV per atom

***

Entry 5:
KMn3Cl | PBE | relaxed

Cell and atoms, written as extended XYZ:
```
5
Lattice="6.2173 0.0000 0.0000 0.0000 6.2173 0.0000 0.0000 0.0000 6.2173" Properties=species:S:1:pos:R:3 pbc="T T T"
Mn 0.0000 3.1087 0.0000
Mn 3.1087 0.0000 0.0000
Mn 0.0000 0.0000 3.1087
Cl 3.1087 3.1087 3.1087
K 0.0000 0.0000 0.0000
```

ΔE_f (raw)   1820 meV per atom
Total moment   15.0 μB per cell
SG   Pm-3m
DFT total energy   -4.27 eV per atom

***

Entry 6:
K2MnCl | PBE | relaxed

Cell and atoms, written as extended XYZ:
```
4
Lattice="7.5839 0.0150 0.0000 4.6677 5.9773 0.0000 -6.1258 -2.9961 3.3186" Properties=species:S:1:pos:R:3 pbc="T T T"
K 0.0000 0.0000 0.0000
K 2.3338 2.9886 1.6593
Cl 3.7919 0.0075 1.6593
Mn 6.1258 2.9961 0.0000
```

ΔE_f (raw)   -106 meV per atom
Total moment   4.2 μB per cell
SG   I-4m2
DFT total energy   -3.41 eV per atom

***

Entry 7:
K3Mn2Cl8 | PBE | relaxed

Cell and atoms, written as extended XYZ:
```
13
Lattice="7.1554 0.0000 0.0000 3.5777 6.1968 0.0000 3.5777 2.0656 8.8583" Properties=species:S:1:pos:R:3 pbc="T T T"
K 0.0000 0.0000 0.0000
K 3.5777 2.0656 3.4634
K 10.7332 6.1968 5.3949
Cl 5.3163 3.0693 6.1472
Cl 5.3162 5.1930 2.7112
Cl 7.1554 2.0075 2.7112
Cl 7.1554 6.2549 6.1472
Cl 8.9946 3.0693 6.1472
Cl 10.7332 6.1968 8.4649
Cl 8.9946 5.1930 2.7112
Cl 3.5777 2.0656 0.3934
Mn 7.1554 4.1312 1.8865
Mn 7.1554 4.1312 6.9718
```

ΔE_f (raw)   -1445 meV per atom
Total moment   9.0 μB per cell
SG   R-3m
DFT total energy   -4.25 eV per atom

***

Entry 8:
KMn2Cl6 | PBE | relaxed

Cell and atoms, written as extended XYZ:
```
9
Lattice="5.3765 0.0000 0.0000 2.6882 5.8636 -0.3852 2.6882 2.0116 8.2519" Properties=species:S:1:pos:R:3 pbc="T T T"
Cl 2.6882 2.4646 6.7812
Cl 8.0647 5.4106 1.0855
Cl 2.6882 2.0602 0.3374
Cl 5.3765 2.6523 2.6741
Cl 8.0647 5.8150 7.5293
Cl 5.3765 5.2229 5.1926
Mn 5.3765 6.0943 7.3009
Mn 5.3765 1.7808 0.5658
K 2.6882 3.9376 3.9334
```

ΔE_f (raw)   -1229 meV per atom
Total moment   9.0 μB per cell
SG   C2/m
DFT total energy   -4.62 eV per atom

***

Theoretical density across the listed records, respectively: 2.35 1.83 2.08 2.82 1.65 1.86 2.16 2.27 g/cm3.